# PaGe2

An optimized crystal structure of PaGe2 (PBE, Alexandria via LeMat-Bulk).

a b c (Å): 7.7358 7.7358 4.1663
angles (deg): 90.00 90.00 149.30
Positions (direct):
Pa1 0.1412 0.8588 0.0000
Pa2 0.8588 0.1412 0.0000
Ge1 0.0000 0.0000 0.5000
Ge2 0.3119 0.6881 0.5000
Ge3 0.5000 0.5000 0.0000
Ge4 0.6881 0.3119 0.5000

Computed properties:
E above lowest polymorph: 0 kJ/mol of formula units
spin magnetization: 0.0 μB/f.u.

# PmNdZnGe

An optimized crystal structure of PmNdZnGe (PBE, Alexandria via LeMat-Bulk).

a b c (Å): 4.2050 5.9948 5.9948
angles (deg): 42.61 90.00 90.00
Positions (direct):
Pm1 0.0000 0.0000 0.0000
Nd1 0.5000 0.7172 0.7172
Zn1 0.5000 0.4288 0.4288
Ge1 0.0000 0.2846 0.2846

Computed properties:
E above lowest polymorph: 0 kJ/mol of formula units
spin magnetization: 0.5 μB/f.u.

# FeW3

An optimized crystal structure of FeW3 (PBE, Alexandria via LeMat-Bulk).

a b c (Å): 2.7690 2.7690 9.1268
angles (deg): 90.00 90.00 120.00
Positions (direct):
Fe1 0.0000 0.0000 0.0000
W1 0.0000 0.0000 0.5000
W2 0.3333 0.6667 0.2285
W3 0.3333 0.6667 0.7715

Computed properties:
spin magnetization: 0.9 μB/f.u.

# SrIrC2

An optimized crystal structure of SrIrC2 (PBE, Alexandria via LeMat-Bulk).

a b c (Å): 4.1818 4.1818 4.1818
angles (deg): 60.00 60.00 60.00
Positions (direct):
Sr1 0.0000 0.0000 0.0000
Ir1 0.5000 0.5000 0.5000
C1 0.2500 0.2500 0.2500
C2 0.7500 0.7500 0.7500

Computed properties:
E above lowest polymorph: 409 kJ/mol of formula units
spin magnetization: 0.0 μB/f.u.

# Er3SiB4

An optimized crystal structure of Er3SiB4 (PBE, Alexandria via LeMat-Bulk).

a b c (Å): 7.2543 7.2543 7.2543
angles (deg): 149.19 141.11 50.42
Positions (direct):
Er1 0.0000 0.0000 0.0000
Er2 0.3128 0.8128 0.5000
Er3 0.6872 0.1872 0.5000
Si1 0.5000 0.5000 0.0000
B1 0.0470 0.3796 0.6674
B2 0.2878 0.6204 0.6674
B3 0.7122 0.3796 0.3326
B4 0.9530 0.6204 0.3326

Computed properties:
formation energy (no corrections): -294 meV per atom
spin magnetization: 0.0 μB/f.u.

# CaTlP

An optimized crystal structure of CaTlP (PBE, Alexandria via LeMat-Bulk).

a b c (Å): 6.5266 6.2627 3.7006
angles (deg): 77.14 69.31 33.56
Positions (direct):
Ca1 0.0000 0.0000 0.0000
Tl1 0.2821 0.2821 0.7179
P1 0.6351 0.6351 0.3649

Computed properties:
E above lowest polymorph: 71 kJ/mol of formula units
spin magnetization: 0.0 μB/f.u.

Going through the records in order, we get E values of -6.723 -4.437 -11.422 -5.676 -6.022 -3.585 eV per atom.